Record 1
Density functional theory data (PBE-GGA) for Ca2YCr after structural relaxation.

## Properties
Energy of formation   0.28 eV/atom
E above lowest polymorph   0.0000 eV/atom
Symmetry   P4mm (99)

Cell lengths 3.703, 3.703, 9.165 Å; angles 90.00, 90.00, 90.00 degrees
Last column: magnetic moment on the atom in μB.
Fractional coordinates of all 4 atoms:
Y 0.500 0.500 0.690  -0.14
Ca 0.000 0.000 0.984  -0.01
Ca 0.500 0.500 0.308  -0.01
Cr 0.000 0.000 0.519  3.44

***

Record 2
Density functional theory data (PBE-GGA) for PrGdY2 after structural relaxation.

## Properties
Energy of formation   0.10 eV/atom
E above lowest polymorph   0.0817 eV/atom
Symmetry   Fm-3m (225)

Cell lengths 5.752, 5.752, 5.753 Å; angles 60.00, 60.00, 60.00 degrees
Last column: magnetic moment on the atom in μB.
Fractional coordinates of all 4 atoms:
Gd 0.500 0.500 0.500  7.23
Y 0.750 0.750 0.750  0.05
Y 0.250 0.250 0.250  0.05
Pr 0.000 0.000 0.000  -0.02

***

Record 3
Density functional theory data (PBE-GGA) for Pm2PrCu2Ge2 after structural relaxation.

## Properties
Energy of formation   -0.49 eV/atom
Symmetry   R-3m (166)

Cell lengths 4.340, 4.340, 10.161 Å; angles 77.67, 77.67, 60.00 degrees
Fractional coordinates of all 7 atoms:
Cu 0.402 0.402 0.795
Cu 0.598 0.598 0.205
Ge 0.736 0.736 0.793
Ge 0.264 0.264 0.207
Pm 0.874 0.874 0.379
Pm 0.126 0.126 0.621
Pr 0.000 0.000 0.000

***

Record 4
Density functional theory data (PBE-GGA) for HoScZnCd after structural relaxation.

## Properties
Energy of formation   -0.33 eV/atom
E above lowest polymorph   0.0000 eV/atom
Symmetry   P4mm (99)

Cell lengths 3.479, 3.479, 7.328 Å; angles 90.00, 90.00, 90.00 degrees
Fractional coordinates of all 4 atoms:
Zn 0.000 0.000 0.378
Sc 0.500 0.500 0.586
Ho 0.500 0.500 0.127
Cd 0.000 0.000 0.837

***

Record 5
Density functional theory data (PBE-GGA) for Mg3Tl4In after structural relaxation.

## Properties
Energy of formation   0.01 eV/atom
E above lowest polymorph   0.0225 eV/atom
Symmetry   Pmm2 (25)

Cell lengths 3.609, 4.937, 12.012 Å; angles 90.00, 90.00, 90.00 degrees
Fractional coordinates of all 8 atoms:
Mg 0.000 0.500 0.583
Mg 0.500 0.000 0.916
Mg 0.000 0.000 0.421
Tl 0.500 0.000 0.650
Tl 0.000 0.000 0.168
Tl 0.500 0.500 0.354
Tl 0.000 0.500 0.836
In 0.500 0.500 0.073

***

Record 6
Density functional theory data (PBE-GGA) for Ho8Er2Tl after structural relaxation.

## Properties
Energy of formation   0.02 eV/atom
E above lowest polymorph   0.0536 eV/atom
Symmetry   C2/m (12)

Cell lengths 5.321, 8.225, 8.933 Å; angles 114.65, 107.33, 90.00 degrees
Fractional coordinates of all 11 atoms:
Ho 0.669 0.904 0.338
Ho 0.980 0.275 0.960
Ho 0.161 0.204 0.322
Ho 0.394 0.566 0.787
Ho 0.020 0.725 0.040
Ho 0.839 0.796 0.678
Ho 0.606 0.434 0.213
Ho 0.331 0.096 0.662
Er 0.199 0.650 0.399
Er 0.801 0.350 0.601
Tl 0.500 0.000 0.000

***

Record 7
Density functional theory data (PBE-GGA) for NaSrCa2Ge after structural relaxation.

## Properties
Energy of formation   -0.22 eV/atom
Symmetry   P4/mmm (123)

Cell lengths 5.827, 5.827, 6.188 Å; angles 90.00, 90.00, 90.00 degrees
Fractional coordinates of all 5 atoms:
Ca 0.500 0.000 0.000
Ca 0.000 0.500 0.000
Sr 0.000 0.000 0.500
Na 0.500 0.500 0.500
Ge 0.000 0.000 0.000

***

Record 8
Density functional theory data (PBE-GGA) for PmNd4H8 after structural relaxation.

## Properties
Symmetry   Pm-3m (221)

Cell lengths 5.900, 5.900, 5.900 Å; angles 90.00, 90.00, 90.00 degrees
Last column: magnetic moment on the atom in μB.
Fractional coordinates of all 13 atoms:
H 0.261 0.739 0.739  0.00
H 0.739 0.739 0.261  0.00
H 0.261 0.739 0.261  0.00
H 0.739 0.261 0.739  0.00
H 0.739 0.261 0.261  0.00
H 0.261 0.261 0.261  0.00
H 0.739 0.739 0.739  0.00
H 0.261 0.261 0.739  0.00
Pm 0.500 0.500 0.500  0.43
Nd 0.500 0.000 0.500  0.22
Nd 0.000 0.500 0.500  0.22
Nd 0.000 0.000 0.000  0.10
Nd 0.500 0.500 0.000  0.22

***

Record 9
Density functional theory data (PBE-GGA) for SiPCl after structural relaxation.

## Properties
E above lowest polymorph   1.0208 eV/atom
Symmetry   P-6m2 (187)

Cell lengths 4.394, 4.394, 2.982 Å; angles 90.00, 90.00, 120.00 degrees
Fractional coordinates of all 3 atoms:
P 0.333 0.667 0.500
Si 0.667 0.333 0.500
Cl 0.000 0.000 0.000

***

Record 10
Density functional theory data (PBE-GGA) for U2Al3C4 after structural relaxation.

## Properties
Energy of formation   -0.17 eV/atom
Symmetry   P6_3/mmc (194)

Cell lengths 3.401, 3.401, 23.327 Å; angles 90.00, 90.00, 120.00 degrees
Last column: magnetic moment on the atom in μB.
Fractional coordinates of all 18 atoms:
U 0.667 0.333 0.436  0.70
U 0.333 0.667 0.936  0.70
U 0.667 0.333 0.061  0.71
U 0.333 0.667 0.561  0.71
Al 0.333 0.667 0.248  0.00
Al 0.000 0.000 0.335  0.00
Al 0.000 0.000 0.835  0.00
Al 0.000 0.000 0.661  0.00
Al 0.000 0.000 0.161  0.00
Al 0.667 0.333 0.748  0.00
C 0.333 0.667 0.132  -0.02
C 0.667 0.333 0.865  -0.02
C 0.333 0.667 0.365  -0.02
C 0.000 0.000 0.498  -0.04
C 0.000 0.000 0.998  -0.04
C 0.000 0.000 0.748  0.00
C 0.667 0.333 0.632  -0.02
C 0.000 0.000 0.248  0.00

***

Respective V values: 126, 135, 161, 89, 214, 336, 210, 205, 50, 234 Å³/cell.
Respective calculated total energy values: -4.74, -7.85, -5.02, -3.60, -2.11, -4.35, -2.55, -4.09, -3.77, -8.03 eV/atom.
Respective M_tot values: 3.5, 7.7, 0.0, 0.0, 0.0, 0.0, 0.0, 1.8, 0.0, 1.4 μB/f.u..